Record 1
Below is a relaxed structure of SmHfV4, with properties calculated at the GGA-PBE level.

Properties
- energy of formation from the pure elements (eV/atom) = 0.251

a b c (Å): 7.457 7.457 7.457
angles (deg): 90.00 90.00 90.00
Space group F-43m (No. 216)
Symmetry-distinct sites (fractional):
Sm1 0.000 0.000 0.000 [4 per cell]
Hf1 0.250 0.250 0.750 [4 per cell]
V1 0.124 0.124 0.376 [16 per cell]

Record 2
Below is a relaxed structure of RbTiHgSe2, with properties calculated at the GGA-PBE level.

Properties
- calculated total energy (eV/atom) = -3.975

a b c (Å): 5.077 5.077 5.493
angles (deg): 90.00 90.00 90.00
Space group P4/mmm (No. 123)
Symmetry-distinct sites (fractional):
Rb1 0.000 0.000 0.000 [1 per cell]
Ti1 0.500 0.500 0.500 [1 per cell]
Hg1 0.500 0.500 0.000 [1 per cell]
Se1 0.000 0.500 0.500 [2 per cell]

Record 3
Below is a relaxed structure of TbAlZnPd, with properties calculated at the GGA-PBE level.

Properties
- energy of formation from the pure elements (eV/atom) = -0.616

a b c (Å): 6.650 6.650 6.650
angles (deg): 90.00 90.00 90.00
Space group F-43m (No. 216)
Symmetry-distinct sites (fractional):
Tb1 0.000 0.000 0.000 [4 per cell]
Al1 0.000 0.000 0.500 [4 per cell]
Zn1 0.250 0.250 0.250 [4 per cell]
Pd1 0.250 0.250 0.750 [4 per cell]

Record 4
Below is a relaxed structure of CePu2In2, with properties calculated at the GGA-PBE level.

Properties
- energy of formation from the pure elements (eV/atom) = -0.195

a b c (Å): 11.033 4.952 9.390
angles (deg): 90.00 102.00 90.00
Space group C2/m (No. 12)
Symmetry-distinct sites (fractional):
Ce1 0.239 0.000 0.223 [4 per cell]
Pu1 0.049 0.500 0.347 [4 per cell]
Pu2 0.126 0.500 0.117 [4 per cell]
In1 0.074 0.000 0.875 [4 per cell]
In2 0.146 0.000 0.563 [4 per cell]

Record 5
Below is a relaxed structure of CuSb2Te, with properties calculated at the GGA-PBE level.

Properties
- calculated total energy (eV/atom) = -3.686

a b c (Å): 3.191 3.191 9.794
angles (deg): 90.00 90.00 90.00
Space group P4/mmm (No. 123)
Symmetry-distinct sites (fractional):
Cu1 0.000 0.000 0.000 [1 per cell]
Sb1 0.500 0.500 0.182 [2 per cell]
Te1 0.000 0.000 0.500 [1 per cell]

Record 6
Below is a relaxed structure of Fe2AgAs, with properties calculated at the GGA-PBE level.

Properties
- energy of formation from the pure elements (eV/atom) = 0.295

a b c (Å): 3.365 4.336 8.050
angles (deg): 90.00 90.00 90.00
Space group Immm (No. 71)
Symmetry-distinct sites (fractional):
Fe1 0.000 0.000 0.229 [4 per cell]
Ag1 0.000 0.500 0.000 [2 per cell]
As1 0.000 0.500 0.500 [2 per cell]

Record 7
Below is a relaxed structure of CdHg2Ir, with properties calculated at the GGA-PBE level.

Properties
- energy of formation from the pure elements (eV/atom) = 0.384
- distance to the lowest polymorph of the same formula (eV/f.u.) = 0.73

a b c (Å): 6.756 6.756 6.756
angles (deg): 90.00 90.00 90.00
Space group Fm-3m (No. 225)
Symmetry-distinct sites (fractional):
Cd1 0.000 0.000 0.000 [4 per cell]
Hg1 0.250 0.250 0.250 [8 per cell]
Ir1 0.000 0.000 0.500 [4 per cell]

Record 8
Below is a relaxed structure of LaFe2Cu, with properties calculated at the GGA-PBE level.

Properties
- energy of formation from the pure elements (eV/atom) = 0.739

a b c (Å): 2.9268 2.9268 27.6070
angles (deg): 90.00 90.00 120.00
Space group R-3m (No. 166, hexagonal axes)
Symmetry-distinct sites (fractional):
La1 0.0000 0.0000 0.0000 [3 per cell]
Fe1 0.0000 0.0000 0.2362 [6 per cell]
Cu1 0.0000 0.0000 0.5000 [3 per cell]

What did the seventh record say?
Below is a relaxed structure of CdHg2Ir, with properties calculated at the GGA-PBE level.

Properties
- energy of formation from the pure elements (eV/atom) = 0.384
- distance to the lowest polymorph of the same formula (eV/f.u.) = 0.73

a b c (Å): 6.756 6.756 6.756
angles (deg): 90.00 90.00 90.00
Space group Fm-3m (No. 225)
Symmetry-distinct sites (fractional):
Cd1 0.000 0.000 0.000 [4 per cell]
Hg1 0.250 0.250 0.250 [8 per cell]
Ir1 0.000 0.000 0.500 [4 per cell]